# 1
Here is a relaxed La3TaPt crystal from Alexandria via LeMat-Bulk. Energies are from PBE.

Unit cell a=5.5754 b=5.5754 c=5.5754 alpha=90.00 beta=90.00 gamma=90.00
Positions (direct):
La 0.0000 0.0000 0.5000
La 0.5000 0.0000 0.0000
La 0.0000 0.5000 0.0000
Ta 0.5000 0.5000 0.5000
Pt 0.0000 0.0000 0.0000

Summary:
* magnetic moment: 0.0 Bohr magnetons per cell
* calculated volume: 173.3 Å³/f.u.
* space group: Pm-3m
* ΔE_f: 420 meV per atom

=====

# 2
Here is a relaxed LiSmMg3 crystal from Alexandria via LeMat-Bulk. Energies are from PBE.

Unit cell a=4.9386 b=4.9386 c=4.9386 alpha=90.00 beta=90.00 gamma=90.00
Positions (direct):
Li 0.0000 0.0000 0.0000
Sm 0.5000 0.5000 0.5000
Mg 0.0000 0.5000 0.0000
Mg 0.0000 0.0000 0.5000
Mg 0.5000 0.0000 0.0000

Summary:
* magnetic moment: 0.0 Bohr magnetons per cell
* calculated volume: 120.5 Å³/f.u.
* space group: Pm-3m
* ΔE_f: 82 meV per atom

=====

# 3
Here is a relaxed LaNd5TlIn2 crystal from Alexandria via LeMat-Bulk. Energies are from PBE.

Unit cell a=8.0915 b=8.0915 c=10.8864 alpha=111.82 beta=111.82 gamma=90.00
Positions (direct):
La 0.7500 0.7500 0.5000
La 0.2500 0.2500 0.5000
Nd 0.8149 0.9367 0.2516
Nd 0.5000 0.5000 0.0000
Nd 0.0000 0.0000 0.0000
Nd 0.5633 0.6851 0.7484
Nd 0.6851 0.1851 0.7484
Nd 0.3149 0.8149 0.2516
Nd 0.1851 0.0633 0.7484
Nd 0.0633 0.5633 0.7484
Nd 0.4367 0.3149 0.2516
Nd 0.9367 0.4367 0.2516
Tl 0.2500 0.7500 0.5000
Tl 0.7500 0.2500 0.5000
In 0.8797 0.6203 0.0000
In 0.1203 0.3797 0.0000
In 0.6203 0.1203 0.0000
In 0.3797 0.8797 0.0000

Summary:
* magnetic moment: 0.0 Bohr magnetons per cell
* calculated volume: 303.2 Å³/f.u.
* space group: I4/mcm
* ΔE_f: -180 meV per atom

=====

# 4
Here is a relaxed KCo2Ir crystal from Alexandria via LeMat-Bulk. Energies are from PBE.

Unit cell a=2.6567 b=4.8337 c=4.8337 alpha=90.00 beta=90.00 gamma=90.00
Each line ends with the local moment (μB).
Positions (direct):
Co 0.0000 0.5000 0.5000  1.71
Co 0.0000 0.0000 0.0000  1.71
K 0.5000 0.0000 0.5000  -0.04
Ir 0.5000 0.5000 0.0000  0.31

Summary:
* magnetic moment: 3.6 Bohr magnetons per cell
* calculated volume: 62.1 Å³/f.u.
* space group: P4/mmm
* ΔE_f: 967 meV per atom